The following is a PBE-GGA calculation of an optimized crystal structure of AlCrSe2, from Alexandria via LeMat-Bulk.

The value obtained for the formation energy from raw total energies is -0.01 eV per atom. For the spin magnetization, the calculation gives 3.78 μB per formula unit. The uncorrected energy is -5.09 eV per atom.

It has space group P4/mmm (No. 123), with a = 4.684 Å, b = 4.684 Å, c = 3.301 Å, α = 90.00°, β = 90.00° and γ = 90.00°. The inequivalent atoms are Al at (0.000, 0.000, 0.000), Cr at (0.500, 0.500, 0.000) and Se at (0.000, 0.500, 0.500).